Entry 1:
Entry from Alexandria: a geometry-optimized Rb2Pt2Au structure (PBE).

Calculated values
DOS(E_F) in states/eV/atom: 0.597
Energy above the lowest structure with this stoichiometry in eV/atom: 0.0000
Total moment in μB/atom: 0.00
DFT total energy in Ha/atom: -0.127

Geometry as CIF:
```
data_Rb2Pt2Au
_space_group_name_H-M_alt 'P 4/m b m'
_space_group_IT_number 127
_space_group_name_Hall '-P 4 2ab'
_cell_length_a 6.9151
_cell_length_b 6.9151
_cell_length_c 5.5163
_cell_angle_alpha 90.00
_cell_angle_beta 90.00
_cell_angle_gamma 90.00
loop_
_atom_site_label
_atom_site_fract_x
_atom_site_fract_y
_atom_site_fract_z
Rb1 0.1788 0.3212 0.0000
Pt1 0.1312 0.6312 0.5000
Au1 0.0000 0.0000 0.5000
```

Entry 2:
Entry from Alexandria: a geometry-optimized RbRe2PtAu structure (PBE).

Calculated values
DOS(E_F) in states/eV/atom: 1.697
Total moment in μB/atom: 0.00
DFT total energy in Ha/atom: -0.122

Geometry as CIF:
```
data_RbRe2PtAu
_space_group_name_H-M_alt 'P 4/m m m'
_space_group_IT_number 123
_space_group_name_Hall '-P 4 2'
_cell_length_a 4.7386
_cell_length_b 4.7386
_cell_length_c 4.8814
_cell_angle_alpha 90.00
_cell_angle_beta 90.00
_cell_angle_gamma 90.00
loop_
_atom_site_label
_atom_site_fract_x
_atom_site_fract_y
_atom_site_fract_z
Rb1 0.0000 0.0000 0.0000
Re1 0.0000 0.5000 0.0000
Pt1 0.0000 0.0000 0.5000
Au1 0.5000 0.5000 0.5000
```

no.,formation energy from the elements (eV per atom)
1,0.0078
2,3.7045